1.
This record from Alexandria describes a relaxed structure of RbNb2O6. The functional is PBE-GGA.

Structure (POSCAR):
```
RbNb2O6
1.0
-2.817 6.993 -0.316
-2.262 2.862 -6.606
-7.352 1.049 -1.338
Rb O Nb
2 12 4
direct
0.750 0.750 0.750 Rb
0.500 0.500 0.500 Rb
0.062 0.438 0.438 O
0.062 0.438 0.062 O
0.062 0.062 0.438 O
0.188 0.812 0.188 O
0.438 0.438 0.062 O
0.812 0.188 0.188 O
0.438 0.062 0.062 O
0.812 0.812 0.188 O
0.188 0.188 0.812 O
0.812 0.188 0.812 O
0.438 0.062 0.438 O
0.188 0.812 0.812 O
0.125 0.625 0.125 Nb
0.125 0.125 0.125 Nb
0.125 0.125 0.625 Nb
0.625 0.125 0.125 Nb
```

The calculation puts the energy relative to the elements, uncorrected at -2246 meV/atom. The total magnetization is 0.12 μB per atom. Its calculated volume is 16.879 Å³ per atom.

=====

2.
This record from Alexandria describes a relaxed structure of Ce6P2OsBr3. The functional is PBE-GGA.

Structure (POSCAR):
```
Ce6P2OsBr3
1.0
4.076 0.000 0.000
0.000 8.745 0.109
-2.038 -2.726 8.901
Ce P Os Br
6 2 1 3
direct
0.675 0.566 0.351 Ce
0.325 0.434 0.649 Ce
0.007 0.222 0.015 Ce
0.345 0.894 0.690 Ce
0.993 0.778 0.985 Ce
0.655 0.106 0.310 Ce
0.166 0.338 0.332 P
0.834 0.662 0.668 P
0.500 0.000 0.000 Os
0.500 0.500 0.000 Br
0.170 0.835 0.339 Br
0.830 0.165 0.661 Br
```

The calculation puts the energy relative to the elements, uncorrected at -1170 meV/atom. The total magnetization is 0.48 μB per atom. Its calculated volume is 26.541 Å³ per atom.

=====

3.
This record from Alexandria describes a relaxed structure of PuNbFeTc. The functional is PBE-GGA.

Structure (POSCAR):
```
PuNbFeTc
1.0
-2.240 -3.877 0.945
2.301 -3.671 1.474
-0.442 -1.388 4.339
Tc Nb Pu Fe
1 1 1 1
direct
0.750 0.750 0.750 Tc
0.000 0.000 0.000 Nb
0.500 0.500 0.500 Pu
0.250 0.250 0.250 Fe
```

Its formation energy from the elements is 0.044 eV/atom. The total magnetization is 0.81 μB per atom. Its calculated volume is 16.944 Å³ per atom.

=====

4.
This record from Alexandria describes a relaxed structure of Mg2ReTc. The functional is PBE-GGA.

Structure (POSCAR):
```
Mg2ReTc
1.0
-7.039 -1.385 -1.023
-0.929 -0.570 7.164
-4.507 1.581 3.206
Mg Tc Re
4 2 2
direct
0.621 0.125 0.250 Mg
0.129 0.625 0.250 Mg
0.875 0.871 0.750 Mg
0.375 0.379 0.750 Mg
0.250 0.750 0.500 Tc
0.500 0.500 0.000 Tc
0.000 0.000 0.000 Re
0.750 0.250 0.500 Re
```

Its formation energy from the elements is 0.990 eV/atom. The total magnetization is 0.00 μB per atom. Its calculated volume is 17.166 Å³ per atom.

=====

5.
This record from Alexandria describes a relaxed structure of Cs3HfN. The functional is PBE-GGA.

Structure (POSCAR):
```
Cs3HfN
1.0
7.338 0.000 0.000
0.000 7.338 0.000
0.000 0.000 7.338
Cs N Hf
3 1 1
direct
0.500 0.000 0.000 Cs
0.000 0.000 0.500 Cs
0.000 0.500 0.000 Cs
0.500 0.500 0.500 N
0.000 0.000 0.000 Hf
```

The calculation puts the energy relative to the elements, uncorrected at 1913 meV/atom. The total magnetization is 1.32 μB per atom. Its calculated volume is 79.015 Å³ per atom.

=====

6.
This record from Alexandria describes a relaxed structure of In4AgBr. The functional is PBE-GGA.

Structure (POSCAR):
```
In4AgBr
1.0
4.957 0.750 3.686
0.982 5.459 2.821
-0.749 0.499 6.157
In Ag Br
4 1 1
direct
0.874 0.375 0.375 In
0.375 0.375 0.375 In
0.375 0.874 0.375 In
0.375 0.375 0.874 In
0.750 0.750 0.750 Ag
0.000 0.000 0.000 Br
```

The calculation puts the energy relative to the elements, uncorrected at 111 meV/atom. The total magnetization is 0.00 μB per atom. Its calculated volume is 28.393 Å³ per atom.

=====

Question: Among the records above, which one has the highest total magnetization?
Answer: Cs3HfN